Here is LaCdOsPt2 after structural relaxation from Alexandria via LeMat-Bulk. Energies are from PBE.

## Properties
SG = P4/mmm, No. 123
Formation enthalpy at 0 K = 0.220 eV per atom
Density = 11.2 Mg/m³

a b c (Å): 4.942 4.942 5.027
angles (deg): 90.00 90.00 90.00
Positions (direct):
La 0.000 0.000 0.000
Cd 0.500 0.500 0.000
Os 0.500 0.500 0.500
Pt 0.000 0.500 0.500
Pt 0.500 0.000 0.500